# 1
Entry from Alexandria: a relaxed CuHgTe2 crystal (PBE).

Structure (POSCAR):
```
CuHgTe2
1.0
-2.396 2.396 4.262
2.396 -2.396 4.262
2.396 2.396 -4.262
Cu Hg Te
1 1 2
Cartesian
0.000 0.000 0.000
0.000 0.000 4.262
2.396 0.000 2.131
0.000 2.396 2.131
```

Values from the calculation:
E_form (uncorrected)	428	meV/atom
spin magnetization	0.000	μB/atom

=====

# 2
Entry from Alexandria: a relaxed Pm2Sm6Hg crystal (PBE).

Structure (POSCAR):
```
Pm2Sm6Hg
1.0
8.815 -4.794 0.000
8.815 4.794 0.000
-0.009 0.000 3.583
Pm Sm Hg
2 6 1
Cartesian
3.108 0.000 1.783
14.512 0.000 1.800
5.942 1.663 0.002
8.810 2.775 1.792
11.678 1.663 3.581
5.942 -1.663 0.002
8.810 -2.775 1.792
11.678 -1.663 3.581
8.815 0.000 0.000
```

Values from the calculation:
DFT formation energy	0.0406	eV/atom
spin magnetization	0.000	μB/atom

=====

# 3
Entry from Alexandria: a relaxed BaHoAs2Pd5 crystal (PBE).

Structure (POSCAR):
```
BaHoAs2Pd5
1.0
4.634 0.000 0.000
0.000 4.634 0.000
0.000 0.000 9.759
Ba Ho As Pd
1 1 2 5
Cartesian
0.000 0.000 0.000
0.000 0.000 4.880
2.317 2.317 2.403
2.317 2.317 7.357
0.000 2.317 3.183
0.000 2.317 6.577
2.317 0.000 3.183
2.317 0.000 6.577
2.317 2.317 0.000
```

Values from the calculation:
DFT formation energy	-0.6283	eV/atom
spin magnetization	0.000	μB/atom

=====

# 4
Entry from Alexandria: a relaxed Zr2TiSbH crystal (PBE).

Structure (POSCAR):
```
Zr2TiSbH
1.0
4.467 0.000 0.000
0.000 4.467 0.000
0.000 0.000 4.207
Zr Ti Sb H
2 1 1 1
Cartesian
0.000 2.233 0.000
2.233 0.000 0.000
0.000 0.000 2.103
2.233 2.233 2.103
0.000 0.000 0.000
```

Values from the calculation:
E_tot	-6.959	eV per atom
spin magnetization	0.108	μB/atom

=====

# 5
Entry from Alexandria: a relaxed ZrFeRu2 crystal (PBE).

Structure (POSCAR):
```
ZrFeRu2
1.0
-1.939 1.939 4.067
1.939 -1.939 4.067
1.939 1.939 -4.067
Zr Fe Ru
1 1 2
Cartesian
0.000 0.000 0.000
1.939 0.000 2.034
0.000 0.000 4.067
0.000 1.939 2.034
```

Values from the calculation:
DFT formation energy	-0.0289	eV/atom
spin magnetization	0.513	μB/atom

=====

# 6
Entry from Alexandria: a relaxed Sb2PbSe crystal (PBE).

Structure (POSCAR):
```
Sb2PbSe
1.0
3.674 0.000 0.000
0.000 5.309 0.000
0.000 0.000 5.562
Sb Pb Se
2 1 1
Cartesian
0.000 0.000 0.000
1.837 2.654 0.000
0.000 2.654 2.781
1.837 0.000 2.781
```

Values from the calculation:
E_form (uncorrected)	79	meV/atom
spin magnetization	0.000	μB/atom

=====

# 7
Entry from Alexandria: a relaxed TcAs2Se crystal (PBE).

Structure (POSCAR):
```
TcAs2Se
1.0
0.000 3.236 3.236
3.236 0.000 3.236
3.236 3.236 0.000
Tc As Se
1 2 1
Cartesian
0.000 0.000 0.000
1.618 1.618 1.618
4.855 4.855 4.855
3.236 3.236 3.236
```

Values from the calculation:
E_form (uncorrected)	585	meV/atom
spin magnetization	0.000	μB/atom

=====

# 8
Entry from Alexandria: a relaxed AlTlRu2 crystal (PBE).

Structure (POSCAR):
```
AlTlRu2
1.0
1.552 -2.490 0.000
1.552 2.490 0.000
0.000 0.000 8.542
Al Tl Ru
1 1 2
Cartesian
0.000 0.000 0.000
0.000 0.000 4.271
1.552 0.000 1.928
1.552 0.000 6.614
```

Values from the calculation:
DFT formation energy	0.2559	eV/atom
spin magnetization	0.000	μB/atom

=====

# 9
Entry from Alexandria: a relaxed BaLaHfIn2 crystal (PBE).

Structure (POSCAR):
```
BaLaHfIn2
1.0
5.745 0.000 0.000
0.000 5.745 0.000
0.000 0.000 5.451
Ba La Hf In
1 1 1 2
Cartesian
0.000 0.000 0.000
2.872 2.872 0.000
2.872 2.872 2.725
0.000 2.872 2.725
2.872 0.000 2.725
```

Values from the calculation:
DFT formation energy	0.1105	eV/atom
spin magnetization	0.000	μB/atom

=====

# 10
Entry from Alexandria: a relaxed CaFe2N2 crystal (PBE).

Structure (POSCAR):
```
CaFe2N2
1.0
3.510 0.000 0.000
0.000 3.510 0.000
0.000 0.000 6.032
Ca Fe N
1 2 2
Cartesian
0.000 0.000 0.000
1.755 1.755 1.883
1.755 1.755 4.149
0.000 1.755 4.307
1.755 0.000 1.725
```

Values from the calculation:
E_form (uncorrected)	55	meV/atom
spin magnetization	0.656	μB/atom

=====

# 11
Entry from Alexandria: a relaxed Na3FeBr crystal (PBE).

Structure (POSCAR):
```
Na3FeBr
1.0
5.552 0.000 0.000
0.000 5.552 0.000
0.000 0.000 5.552
Na Fe Br
3 1 1
Cartesian
0.000 0.000 2.776
0.000 2.776 0.000
2.776 0.000 0.000
2.776 2.776 2.776
0.000 0.000 0.000
```

Values from the calculation:
E_form (uncorrected)	200	meV/atom
spin magnetization	0.663	μB/atom

=====

# 12
Entry from Alexandria: a relaxed MgPaZn2 crystal (PBE).

Structure (POSCAR):
```
MgPaZn2
1.0
3.085 0.000 0.000
0.000 3.085 0.000
0.000 0.000 8.083
Mg Pa Zn
1 1 2
Cartesian
0.000 0.000 0.000
0.000 0.000 4.042
1.542 1.542 1.839
1.542 1.542 6.244
```

Values from the calculation:
DFT formation energy	-0.0505	eV/atom
spin magnetization	0.103	μB/atom